Entry 1:
A relaxed structure of CaY2Ho2Mg5. Source: the Alexandria database, functional GGA-PBE.

Results
Spin magnetization = 0.000 μB per formula unit
VASP energy = -0.1147 hartree per atom
Density of states at the Fermi level = 9.41 states/eV/f.u.

a b c (Å): 5.026 10.788 10.788
angles (deg): 90.00 90.00 90.00
Fractional positions:
Ca (0.000, 0.000, 0.000)
Ca (0.000, 0.500, 0.500)
Y (0.000, 0.680, 0.180)
Y (0.000, 0.320, 0.820)
Y (0.000, 0.180, 0.320)
Y (0.000, 0.820, 0.680)
Ho (0.000, 0.115, 0.615)
Ho (0.000, 0.885, 0.385)
Ho (0.000, 0.615, 0.885)
Ho (0.000, 0.385, 0.115)
Mg (0.500, 0.203, 0.069)
Mg (0.500, 0.797, 0.931)
Mg (0.500, 0.069, 0.797)
Mg (0.500, 0.703, 0.431)
Mg (0.500, 0.931, 0.203)
Mg (0.500, 0.297, 0.569)
Mg (0.500, 0.569, 0.703)
Mg (0.500, 0.431, 0.297)
Mg (0.500, 0.500, 0.000)
Mg (0.500, 0.000, 0.500)

Entry 2:
A relaxed structure of CaHoMgZn. Source: the Alexandria database, functional GGA-PBE.

Results
Spin magnetization = 0.001 μB per formula unit
Relative energy among the computed polymorphs = 0.0 meV/atom
Density of states at the Fermi level = 3.31 states/eV/f.u.

a b c (Å): 3.666 3.666 7.810
angles (deg): 90.00 90.00 90.00
Fractional positions:
Ca (0.000, 0.000, 0.881)
Ho (0.000, 0.000, 0.328)
Mg (0.500, 0.500, 0.594)
Zn (0.500, 0.500, 0.125)

Entry 3:
A relaxed structure of CaHoMgZn. Source: the Alexandria database, functional GGA-PBE.

Results
Spin magnetization = 0.000 μB per formula unit
Relative energy among the computed polymorphs = 50.8 meV/atom
Density of states at the Fermi level = 3.94 states/eV/f.u.

a b c (Å): 5.270 5.270 5.270
angles (deg): 60.00 60.00 60.00
Fractional positions:
Mg (0.500, 0.500, 0.500)
Zn (0.000, 0.000, 0.000)
Ca (0.250, 0.250, 0.250)
Ho (0.750, 0.750, 0.750)

Entry 4:
A relaxed structure of CaHo2Mn. Source: the Alexandria database, functional GGA-PBE.

Results
Spin magnetization = 2.582 μB per formula unit
VASP energy = -0.1821 hartree per atom
Density of states at the Fermi level = 5.63 states/eV/f.u.

a b c (Å): 3.501 3.501 9.329
angles (deg): 90.00 90.00 90.00
Last column: magnetic moment on the atom in μB.
Fractional positions:
Ca (0.500, 0.500, 0.500)  0.02
Mn (0.500, 0.500, 0.000)  3.09
Ho (0.000, 0.000, 0.819)  -0.28
Ho (0.000, 0.000, 0.181)  -0.28